[1]
Material: RbNpNiS4
Method: DFT, GGA-PBE
State: relaxed

Lattice parameters (Å, degrees): 6.511 5.646 9.188 90.00 105.90 90.00
Space group P2_1/m (No. 11)
Symmetry-distinct sites (fractional):
Rb 0.250 0.250 0.049 [2 per cell]
Np 0.261 0.250 0.553 [2 per cell]
Ni 0.233 0.750 0.345 [2 per cell]
S 0.018 0.516 0.697 [4 per cell]
S 0.426 0.750 0.580 [2 per cell]
S 0.450 0.750 0.195 [2 per cell]

Calculated volume: 162.4 Å³/f.u.
Formation energy (no corrections): -0.93 eV per atom
D(E_F): 17.2 states/eV/cell
Raw total energy: -6.11 eV/atom
M_tot: 1.22 μB/f.u.

=====

[2]
Material: Rb4Np3NiS8
Method: DFT, GGA-PBE
State: relaxed

Lattice parameters (Å, degrees): 14.226 7.912 8.933 90.00 121.03 90.00
Space group C2/m (No. 12)
Symmetry-distinct sites (fractional):
Rb 0.000 0.000 0.000 [2 per cell]
Rb 0.000 0.500 0.000 [2 per cell]
Rb 0.250 0.250 0.000 [4 per cell]
Np 0.000 0.000 0.500 [2 per cell]
Np 0.250 0.250 0.500 [4 per cell]
Ni 0.000 0.500 0.500 [2 per cell]
S 0.023 0.269 0.328 [8 per cell]
S 0.228 0.000 0.693 [4 per cell]
S 0.250 0.000 0.297 [4 per cell]

Calculated volume: 430.8 Å³/f.u.
Formation energy (no corrections): -1.13 eV per atom
D(E_F): 67.3 states/eV/cell
Raw total energy: -6.23 eV/atom
M_tot: 11.46 μB/f.u.

=====

[3]
Material: RbNpNi2S4
Method: DFT, GGA-PBE
State: relaxed

Lattice parameters (Å, degrees): 6.247 7.884 8.833 90.00 90.00 90.00
Space group I222 (No. 23)
Symmetry-distinct sites (fractional):
Rb 0.000 0.000 0.000 [2 per cell]
Np 0.000 0.000 0.500 [2 per cell]
Ni 0.000 0.500 0.131 [4 per cell]
S 0.241 0.165 0.318 [8 per cell]

Calculated volume: 217.5 Å³/f.u.
Formation energy (no corrections): -0.53 eV per atom
D(E_F): 23.8 states/eV/cell
Raw total energy: -5.78 eV/atom
M_tot: 0.03 μB/f.u.

=====

[4]
Material: Rb2NpNiSe4
Method: DFT, GGA-PBE
State: relaxed

Lattice parameters (Å, degrees): 6.197 14.601 25.731 90.00 90.00 90.00
Space group Fddd (No. 70, origin choice 2)
Symmetry-distinct sites (fractional):
Rb 0.125 0.125 0.305 [16 per cell]
Np 0.125 0.125 0.125 [8 per cell]
Ni 0.125 0.125 0.625 [8 per cell]
Se 0.093 0.274 0.823 [32 per cell]

Calculated volume: 291.0 Å³/f.u.
Formation energy (no corrections): -0.75 eV per atom
D(E_F): 85.4 states/eV/cell
Raw total energy: -5.08 eV/atom
M_tot: 0.96 μB/f.u.

=====

[5]
Material: RbNpNi2Se4
Method: DFT, GGA-PBE
State: relaxed

Lattice parameters (Å, degrees): 6.597 6.634 9.382 90.00 90.00 90.00
Space group I222 (No. 23)
Symmetry-distinct sites (fractional):
Rb 0.000 0.000 0.000 [2 per cell]
Np 0.000 0.000 0.500 [2 per cell]
Ni 0.000 0.500 0.246 [4 per cell]
Se 0.213 0.215 0.297 [8 per cell]

Calculated volume: 205.3 Å³/f.u.
Formation energy (no corrections): -0.45 eV per atom
D(E_F): 24.6 states/eV/cell
Raw total energy: -5.37 eV/atom
M_tot: 3.51 μB/f.u.

=====

[6]
Material: RbNpNiSe3
Method: DFT, GGA-PBE
State: relaxed

Lattice parameters (Å, degrees): 9.426 4.069 9.708 90.00 111.13 90.00
Space group P2_1/m (No. 11)
Symmetry-distinct sites (fractional):
Rb 0.207 0.250 0.244 [2 per cell]
Np 0.318 0.750 0.840 [2 per cell]
Ni 0.081 0.250 0.590 [2 per cell]
Se 0.120 0.250 0.852 [2 per cell]
Se 0.189 0.750 0.534 [2 per cell]
Se 0.466 0.750 0.156 [2 per cell]

Calculated volume: 173.7 Å³/f.u.
Formation energy (no corrections): -0.97 eV per atom
D(E_F): 23.1 states/eV/cell
Raw total energy: -6.00 eV/atom
M_tot: 2.38 μB/f.u.